No. 1
Density functional theory data (PBE) for an optimized crystal structure of CuAg.

```
CuAg
1.0
2.805 0.000 0.000
0.000 15.047 0.000
0.000 0.000 2.931
Cu Ag
4 4
Cartesian
0.000 3.039 0.733 Cu
0.000 12.008 2.198 Cu
1.402 4.485 2.198 Cu
1.402 10.562 0.733 Cu
0.000 6.302 0.733 Ag
0.000 8.745 2.198 Ag
1.402 1.221 2.198 Ag
1.402 13.825 0.733 Ag
```

## Properties
Calculated total energy (eV per atom): -3.3438
Space-group type: Cmcm (63)
E_form (eV per atom): 0.130

=====

No. 2
Density functional theory data (PBE) for an optimized crystal structure of Cu4Ag5.

```
Cu4Ag5
1.0
-4.298 4.298 1.883
4.298 -4.298 1.883
4.298 4.298 -1.883
Cu Ag
4 5
Cartesian
3.011 0.000 0.000 Cu
5.585 0.000 0.000 Cu
0.000 3.011 0.000 Cu
0.000 5.585 0.000 Cu
0.000 0.000 0.000 Ag
2.845 2.845 0.000 Ag
1.453 -1.453 1.883 Ag
-1.453 1.453 1.883 Ag
1.453 1.453 1.883 Ag
```

## Properties
Calculated total energy (eV per atom): -3.3031
Space-group type: I4/mmm (139)
E_form (eV per atom): 0.101

=====

No. 3
Density functional theory data (PBE) for an optimized crystal structure of CuAg2.

```
CuAg2
1.0
2.814 0.000 0.000
0.000 2.814 0.000
0.000 0.000 25.240
Cu Ag
4 8
Cartesian
0.000 0.704 9.465 Cu
0.000 2.111 15.775 Cu
1.407 0.704 3.155 Cu
1.407 2.111 22.085 Cu
0.000 0.704 20.191 Ag
0.000 0.704 23.979 Ag
0.000 2.111 1.261 Ag
0.000 2.111 5.049 Ag
1.407 0.704 13.881 Ag
1.407 0.704 17.669 Ag
1.407 2.111 7.571 Ag
1.407 2.111 11.359 Ag
```

## Properties
Calculated total energy (eV per atom): -3.1149
Space-group type: I4_1/amd (141)
E_form (eV per atom): 0.151

=====

Question: What is the formula in the third record?
Answer: CuAg2

=====

Question: Look up the calculated total energy of the third one.
Answer: -3.1149 eV per atom

=====

Question: Number 3 is which compound?
Answer: CuAg2

=====

Question: The lowest calculated total energy belongs to which entry?
Answer: CuAg